Run one
# RbPdCl2, optimized geometry, DFT PBE
# - volume (Å³/cell) = 388
data_RbPdCl2
_space_group_name_H-M_alt 'R -3 m'
_space_group_IT_number 166
_space_group_name_Hall '-R 3 2"'
_cell_length_a 4.2406
_cell_length_b 4.2406
_cell_length_c 24.9403
_cell_angle_alpha 90.00
_cell_angle_beta 90.00
_cell_angle_gamma 120.00
loop_
_atom_site_label
_atom_site_type_symbol
_atom_site_fract_x
_atom_site_fract_y
_atom_site_fract_z
Rb1 Rb 0.0000 0.0000 0.0000
Pd1 Pd 0.0000 0.0000 0.5000
Cl1 Cl 0.0000 0.0000 0.1199

Run two
# RbPdCl2, optimized geometry, DFT PBE
# - volume (Å³/cell) = 539
data_RbPdCl2
_space_group_name_H-M_alt 'I -4 2 d'
_space_group_IT_number 122
_space_group_name_Hall 'I -4 2bw'
_cell_length_a 6.176
_cell_length_b 6.176
_cell_length_c 14.126
_cell_angle_alpha 90.00
_cell_angle_beta 90.00
_cell_angle_gamma 90.00
loop_
_atom_site_label
_atom_site_type_symbol
_atom_site_fract_x
_atom_site_fract_y
_atom_site_fract_z
Rb1 Rb 0.000 0.000 0.000
Pd1 Pd 0.000 0.000 0.500
Cl1 Cl 0.142 0.250 0.625

run two is preferred energetically. Next in line: 0.344 eV/atom higher.